(1)
The following is a DFT calculation (GGA-PBE) of an optimized crystal structure of Sc2AgSn2.

Computed properties:
The energy of formation is -0.44 eV per atom. The calculation puts the total moment at 0.00 μB per atom.

a b c (Å): 7.276 7.276 4.306
angles (deg): 90.00 90.00 90.00
Space group P4/mbm (No. 127)
Symmetry-distinct sites (fractional):
Sc 0.167 0.333 0.000 (multiplicity 4)
Ag 0.000 0.000 0.500 (multiplicity 2)
Sn 0.139 0.639 0.500 (multiplicity 4)


(2)
The following is a DFT calculation (GGA-PBE) of an optimized crystal structure of CaCrS2.

Computed properties:
The value obtained for the total energy is -5.74 eV/atom. The calculation puts the total moment at 1.00 μB per atom.

a b c (Å): 4.1344 4.1344 22.3314
angles (deg): 90.00 90.00 120.00
Space group R-3m (No. 166, hexagonal axes)
Symmetry-distinct sites (fractional):
Ca 0.0000 0.0000 0.0000 (multiplicity 3)
Cr 0.0000 0.0000 0.5000 (multiplicity 3)
S 0.0000 0.0000 0.4005 (multiplicity 6)


total moment of number 1 (Sc2AgSn2)? 0.00 μB per atom